[1]
DyInCo after structural relaxation, computed with PBE.

Cell lengths 4.5491, 4.5491, 4.5491 Å; angles 60.00, 60.00, 60.00 degrees
Sites, in units of the cell vectors:
Co 0.0000 0.0000 0.0000
Dy 0.2500 0.2500 0.2500
In 0.7500 0.7500 0.7500

## Properties
raw total energy = -14.87 eV per cell

[2]
LaTaSn2Pd2 after structural relaxation, computed with PBE.

Cell lengths 6.6244, 4.5579, 9.2514 Å; angles 90.00, 90.00, 90.00 degrees
Sites, in units of the cell vectors:
La 0.9985 0.0000 0.3804
La 0.4985 0.5000 0.6196
Pd 0.7406 0.0000 0.1048
Pd 0.2686 0.5000 0.3412
Pd 0.7686 0.0000 0.6588
Pd 0.2406 0.5000 0.8952
Sn 0.9819 0.5000 0.1149
Sn 0.5069 0.0000 0.3537
Sn 0.0069 0.5000 0.6463
Sn 0.4819 0.0000 0.8851
Ta 0.5034 0.5000 0.1203
Ta 0.0034 0.0000 0.8797

## Properties
raw total energy = -76.78 eV per cell

[3]
Tb2NdCu4Sn2Ge2 after structural relaxation, computed with PBE.

Cell lengths 8.3365, 8.3365, 8.3365 Å; angles 149.65, 131.96, 57.89 degrees
Sites, in units of the cell vectors:
Cu 0.6503 0.3401 0.3102
Cu 0.9702 0.6599 0.3102
Cu 0.3497 0.6599 0.6898
Cu 0.0298 0.3401 0.6898
Ge 0.6873 0.5000 0.1873
Ge 0.3127 0.5000 0.8127
Nd 0.0000 0.0000 0.0000
Sn 0.2193 0.2193 0.0000
Sn 0.7807 0.7807 0.0000
Tb 0.6250 0.1250 0.5000
Tb 0.3750 0.8750 0.5000

## Properties
energy above the lowest structure with this stoichiometry = 0.0 meV/atom

[4]
NaTlOs after structural relaxation, computed with PBE.

Cell lengths 4.6144, 4.6144, 4.6144 Å; angles 60.00, 60.00, 60.00 degrees
Sites, in units of the cell vectors:
Na 0.0000 0.0000 0.0000
Os 0.2500 0.2500 0.2500
Tl 0.7500 0.7500 0.7500

## Properties
energy above the lowest structure with this stoichiometry = 416.2 meV/atom

Q: Number 3 is which compound?
A: Tb2NdCu4Sn2Ge2